A plane-wave DFT calculation with PBE was carried out for a geometry-optimized BaCaPS2 structure.

a b c (Å): 5.6558 5.6558 5.4878
angles (deg): 90.00 90.00 90.00
Fractional positions:
S 0.0000 0.5000 0.0000
S 0.5000 0.0000 0.0000
P 0.0000 0.0000 0.5000
Ca 0.5000 0.5000 0.5000
Ba 0.0000 0.0000 0.0000

Output
- Energy: -3.53 eV per atom
- Space group: P4/mmm